(1)
The following is a DFT calculation (GGA-PBE) of AgPd4Pt15 after structural relaxation.

Summary:
- DOS at the Fermi energy: 41.8 states/eV per cell
- Energy of formation: -18 meV per atom
- Uncorrected energy: -5.7300 eV per atom
- Magnetic moment: 0.000 μB per atom
- Space group: No. 123

Structure (CIF):
```
data_AgPd4Pt15
_symmetry_space_group_name_H-M 'P 1'
_symmetry_Int_Tables_number 1
_symmetry_space_group_name_Hall 'P 1'
_cell_length_a 3.959
_cell_length_b 3.959
_cell_length_c 19.973
_cell_angle_alpha 90.00
_cell_angle_beta 90.00
_cell_angle_gamma 90.00
loop_
_atom_site_label
_atom_site_type_symbol
_atom_site_fract_x
_atom_site_fract_y
_atom_site_fract_z
_atom_site_occupancy
Ag1 Ag 0.000 0.000 0.000 1
Pd1 Pd 0.000 0.000 0.202 1
Pd2 Pd 0.000 0.000 0.400 1
Pd3 Pd 0.000 0.000 0.600 1
Pd4 Pd 0.000 0.000 0.798 1
Pt1 Pt 0.000 0.500 0.102 1
Pt2 Pt 0.000 0.500 0.301 1
Pt3 Pt 0.000 0.500 0.500 1
Pt4 Pt 0.000 0.500 0.699 1
Pt5 Pt 0.000 0.500 0.898 1
Pt6 Pt 0.500 0.000 0.102 1
Pt7 Pt 0.500 0.000 0.301 1
Pt8 Pt 0.500 0.000 0.500 1
Pt9 Pt 0.500 0.000 0.699 1
Pt10 Pt 0.500 0.000 0.898 1
Pt11 Pt 0.500 0.500 0.000 1
Pt12 Pt 0.500 0.500 0.201 1
Pt13 Pt 0.500 0.500 0.401 1
Pt14 Pt 0.500 0.500 0.599 1
Pt15 Pt 0.500 0.500 0.799 1
```

(2)
The following is a DFT calculation (GGA-PBE) of AgPd8Pt5 after structural relaxation.

Summary:
- DOS at the Fermi energy: 27.1 states/eV per cell
- Energy of formation: 150 meV per atom
- Uncorrected energy: -5.1784 eV per atom
- Magnetic moment: 0.000 μB per atom
- Space group: No. 5

Structure (CIF):
```
data_AgPd8Pt5
_symmetry_space_group_name_H-M 'P 1'
_symmetry_Int_Tables_number 1
_symmetry_space_group_name_Hall 'P 1'
_cell_length_a 5.252
_cell_length_b 5.252
_cell_length_c 9.243
_cell_angle_alpha 108.78
_cell_angle_beta 108.78
_cell_angle_gamma 81.76
loop_
_atom_site_label
_atom_site_type_symbol
_atom_site_fract_x
_atom_site_fract_y
_atom_site_fract_z
_atom_site_occupancy
Ag1 Ag 0.000 0.000 0.000 1
Pd1 Pd 0.182 0.637 0.745 1
Pd2 Pd 0.363 0.818 0.255 1
Pd3 Pd 0.372 0.313 0.247 1
Pd4 Pd 0.505 0.193 0.832 1
Pd5 Pd 0.687 0.628 0.753 1
Pd6 Pd 0.807 0.495 0.168 1
Pd7 Pd 0.881 0.067 0.334 1
Pd8 Pd 0.933 0.119 0.666 1
Pt1 Pt 0.128 0.460 0.975 1
Pt2 Pt 0.266 0.734 0.500 1
Pt3 Pt 0.385 0.225 0.525 1
Pt4 Pt 0.540 0.872 0.025 1
Pt5 Pt 0.775 0.615 0.475 1
```

(3)
The following is a DFT calculation (GGA-PBE) of AgPd12Pt5 after structural relaxation.

Summary:
- DOS at the Fermi energy: 41.5 states/eV per cell
- Energy of formation: -17 meV per atom
- Uncorrected energy: -5.3150 eV per atom
- Magnetic moment: 0.010 μB per atom
- Space group: No. 12

Structure (CIF):
```
data_AgPd12Pt5
_symmetry_space_group_name_H-M 'P 1'
_symmetry_Int_Tables_number 1
_symmetry_space_group_name_Hall 'P 1'
_cell_length_a 8.385
_cell_length_b 8.385
_cell_length_c 4.861
_cell_angle_alpha 106.80
_cell_angle_beta 106.80
_cell_angle_gamma 60.17
loop_
_atom_site_label
_atom_site_type_symbol
_atom_site_fract_x
_atom_site_fract_y
_atom_site_fract_z
_atom_site_occupancy
Ag1 Ag 0.000 0.000 0.000 1
Pd1 Pd 0.001 0.333 0.002 1
Pd2 Pd 0.167 0.501 0.501 1
Pd3 Pd 0.167 0.833 0.500 1
Pd4 Pd 0.333 0.001 0.002 1
Pd5 Pd 0.335 0.665 0.000 1
Pd6 Pd 0.499 0.833 0.499 1
Pd7 Pd 0.501 0.167 0.501 1
Pd8 Pd 0.665 0.335 0.000 1
Pd9 Pd 0.667 0.999 0.998 1
Pd10 Pd 0.833 0.167 0.500 1
Pd11 Pd 0.833 0.499 0.499 1
Pd12 Pd 0.999 0.667 0.998 1
Pt1 Pt 0.169 0.169 0.509 1
Pt2 Pt 0.335 0.335 0.005 1
Pt3 Pt 0.500 0.500 0.500 1
Pt4 Pt 0.665 0.665 0.995 1
Pt5 Pt 0.831 0.831 0.491 1
```

(4)
The following is a DFT calculation (GGA-PBE) of AgPd5Pt2 after structural relaxation.

Summary:
- Excess energy over the best structure of this formula in the dataset: 34 meV/atom
- DOS at the Fermi energy: 22.1 states/eV per cell
- Energy of formation: 133 meV per atom
- Uncorrected energy: -4.9788 eV per atom
- Magnetic moment: 0.000 μB per atom
- Space group: No. 140

Structure (CIF):
```
data_AgPd5Pt2
_symmetry_space_group_name_H-M 'P 1'
_symmetry_Int_Tables_number 1
_symmetry_space_group_name_Hall 'P 1'
_cell_length_a 7.367
_cell_length_b 7.367
_cell_length_c 7.367
_cell_angle_alpha 124.29
_cell_angle_beta 124.29
_cell_angle_gamma 82.72
loop_
_atom_site_label
_atom_site_type_symbol
_atom_site_fract_x
_atom_site_fract_y
_atom_site_fract_z
_atom_site_occupancy
Ag1 Ag 0.250 0.250 0.000 1
Ag2 Ag 0.750 0.750 0.000 1
Pd1 Pd 0.000 0.000 0.000 1
Pd2 Pd 0.013 0.513 0.201 1
Pd3 Pd 0.188 0.987 0.500 1
Pd4 Pd 0.312 0.812 0.799 1
Pd5 Pd 0.487 0.688 0.500 1
Pd6 Pd 0.500 0.500 0.000 1
Pd7 Pd 0.513 0.312 0.500 1
Pd8 Pd 0.688 0.188 0.201 1
Pd9 Pd 0.812 0.013 0.500 1
Pd10 Pd 0.987 0.487 0.799 1
Pt1 Pt 0.143 0.357 0.500 1
Pt2 Pt 0.357 0.857 0.213 1
Pt3 Pt 0.643 0.143 0.787 1
Pt4 Pt 0.857 0.643 0.500 1
```

(5)
The following is a DFT calculation (GGA-PBE) of Ag2Pd6Pt after structural relaxation.

Summary:
- Excess energy over the best structure of this formula in the dataset: 83 meV/atom
- DOS at the Fermi energy: 30.4 states/eV per cell
- Energy of formation: 71 meV per atom
- Uncorrected energy: -4.6957 eV per atom
- Magnetic moment: 0.000 μB per atom
- Space group: No. 15

Structure (CIF):
```
data_Ag2Pd6Pt
_symmetry_space_group_name_H-M 'P 1'
_symmetry_Int_Tables_number 1
_symmetry_space_group_name_Hall 'P 1'
_cell_length_a 6.977
_cell_length_b 6.977
_cell_length_c 7.296
_cell_angle_alpha 114.68
_cell_angle_beta 114.68
_cell_angle_gamma 86.25
loop_
_atom_site_label
_atom_site_type_symbol
_atom_site_fract_x
_atom_site_fract_y
_atom_site_fract_z
_atom_site_occupancy
Ag1 Ag 0.044 0.289 0.414 1
Ag2 Ag 0.289 0.044 0.914 1
Ag3 Ag 0.711 0.956 0.086 1
Ag4 Ag 0.956 0.711 0.586 1
Pd1 Pd 0.074 0.821 0.033 1
Pd2 Pd 0.150 0.412 0.864 1
Pd3 Pd 0.179 0.926 0.467 1
Pd4 Pd 0.268 0.513 0.308 1
Pd5 Pd 0.412 0.150 0.364 1
Pd6 Pd 0.487 0.732 0.192 1
Pd7 Pd 0.513 0.268 0.808 1
Pd8 Pd 0.588 0.850 0.636 1
Pd9 Pd 0.732 0.487 0.692 1
Pd10 Pd 0.821 0.074 0.533 1
Pd11 Pd 0.850 0.588 0.136 1
Pd12 Pd 0.926 0.179 0.967 1
Pt1 Pt 0.378 0.622 0.750 1
Pt2 Pt 0.622 0.378 0.250 1
```

(6)
The following is a DFT calculation (GGA-PBE) of Ag2Pd8Pt3 after structural relaxation.

Summary:
- Excess energy over the best structure of this formula in the dataset: 15 meV/atom
- DOS at the Fermi energy: 19.5 states/eV per cell
- Energy of formation: 165 meV per atom
- Uncorrected energy: -4.8634 eV per atom
- Magnetic moment: 0.000 μB per atom
- Space group: No. 12

Structure (CIF):
```
data_Ag2Pd8Pt3
_symmetry_space_group_name_H-M 'P 1'
_symmetry_Int_Tables_number 1
_symmetry_space_group_name_Hall 'P 1'
_cell_length_a 7.496
_cell_length_b 7.496
_cell_length_c 4.651
_cell_angle_alpha 92.43
_cell_angle_beta 92.43
_cell_angle_gamma 56.72
loop_
_atom_site_label
_atom_site_type_symbol
_atom_site_fract_x
_atom_site_fract_y
_atom_site_fract_z
_atom_site_occupancy
Ag1 Ag 0.159 0.159 0.241 1
Ag2 Ag 0.841 0.841 0.759 1
Pd1 Pd 0.048 0.048 0.743 1
Pd2 Pd 0.115 0.542 0.314 1
Pd3 Pd 0.315 0.315 0.808 1
Pd4 Pd 0.458 0.885 0.686 1
Pd5 Pd 0.542 0.115 0.314 1
Pd6 Pd 0.685 0.685 0.192 1
Pd7 Pd 0.885 0.458 0.686 1
Pd8 Pd 0.952 0.952 0.257 1
Pt1 Pt 0.316 0.684 0.000 1
Pt2 Pt 0.500 0.500 0.500 1
Pt3 Pt 0.684 0.316 0.000 1
```

(7)
The following is a DFT calculation (GGA-PBE) of AgPdPt4 after structural relaxation.

Summary:
- Excess energy over the best structure of this formula in the dataset: 94 meV/atom
- DOS at the Fermi energy: 1.8 states/eV per cell
- Energy of formation: 90 meV per atom
- Uncorrected energy: -5.2776 eV per atom
- Magnetic moment: 0.000 μB per atom
- Space group: No. 216

Structure (CIF):
```
data_AgPdPt4
_symmetry_space_group_name_H-M 'P 1'
_symmetry_Int_Tables_number 1
_symmetry_space_group_name_Hall 'P 1'
_cell_length_a 5.258
_cell_length_b 5.258
_cell_length_c 5.258
_cell_angle_alpha 60.00
_cell_angle_beta 60.00
_cell_angle_gamma 60.00
loop_
_atom_site_label
_atom_site_type_symbol
_atom_site_fract_x
_atom_site_fract_y
_atom_site_fract_z
_atom_site_occupancy
Ag1 Ag 0.000 0.000 0.000 1
Pd1 Pd 0.250 0.250 0.250 1
Pt1 Pt 0.126 0.625 0.625 1
Pt2 Pt 0.625 0.126 0.625 1
Pt3 Pt 0.625 0.625 0.126 1
Pt4 Pt 0.625 0.625 0.625 1
```

(8)
The following is a DFT calculation (GGA-PBE) of Ag8Pd2Pt3 after structural relaxation.

Summary:
- DOS at the Fermi energy: 7.0 states/eV per cell
- Energy of formation: 164 meV per atom
- Uncorrected energy: -3.7837 eV per atom
- Magnetic moment: 0.000 μB per atom
- Space group: No. 12

Structure (CIF):
```
data_Ag8Pd2Pt3
_symmetry_space_group_name_H-M 'P 1'
_symmetry_Int_Tables_number 1
_symmetry_space_group_name_Hall 'P 1'
_cell_length_a 7.047
_cell_length_b 7.047
_cell_length_c 5.352
_cell_angle_alpha 96.63
_cell_angle_beta 96.63
_cell_angle_gamma 65.25
loop_
_atom_site_label
_atom_site_type_symbol
_atom_site_fract_x
_atom_site_fract_y
_atom_site_fract_z
_atom_site_occupancy
Ag1 Ag 0.061 0.695 0.062 1
Ag2 Ag 0.094 0.094 0.385 1
Ag3 Ag 0.296 0.296 0.713 1
Ag4 Ag 0.305 0.939 0.938 1
Ag5 Ag 0.695 0.061 0.062 1
Ag6 Ag 0.704 0.704 0.287 1
Ag7 Ag 0.906 0.906 0.615 1
Ag8 Ag 0.939 0.305 0.938 1
Pd1 Pd 0.307 0.307 0.227 1
Pd2 Pd 0.693 0.693 0.773 1
Pt1 Pt 0.329 0.671 0.500 1
Pt2 Pt 0.500 0.500 0.000 1
Pt3 Pt 0.671 0.329 0.500 1
```

(9)
The following is a DFT calculation (GGA-PBE) of Ag3Pd2Pt after structural relaxation.

Summary:
- Excess energy over the best structure of this formula in the dataset: 49 meV/atom
- DOS at the Fermi energy: 7.4 states/eV per cell
- Energy of formation: 49 meV per atom
- Uncorrected energy: -4.1142 eV per atom
- Magnetic moment: 0.000 μB per atom
- Space group: No. 12

Structure (CIF):
```
data_Ag3Pd2Pt
_symmetry_space_group_name_H-M 'P 1'
_symmetry_Int_Tables_number 1
_symmetry_space_group_name_Hall 'P 1'
_cell_length_a 9.339
_cell_length_b 9.339
_cell_length_c 8.345
_cell_angle_alpha 108.22
_cell_angle_beta 108.22
_cell_angle_gamma 17.18
loop_
_atom_site_label
_atom_site_type_symbol
_atom_site_fract_x
_atom_site_fract_y
_atom_site_fract_z
_atom_site_occupancy
Ag1 Ag 0.057 0.057 0.427 1
Ag2 Ag 0.189 0.189 0.704 1
Ag3 Ag 0.431 0.431 0.206 1
Ag4 Ag 0.569 0.569 0.794 1
Ag5 Ag 0.811 0.811 0.296 1
Ag6 Ag 0.943 0.943 0.573 1
Pd1 Pd 0.195 0.195 0.374 1
Pd2 Pd 0.425 0.425 0.868 1
Pd3 Pd 0.575 0.575 0.132 1
Pd4 Pd 0.805 0.805 0.626 1
Pt1 Pt 0.192 0.192 0.041 1
Pt2 Pt 0.808 0.808 0.959 1
```

(10)
The following is a DFT calculation (GGA-PBE) of Ag2Pd8Pt3 after structural relaxation.

Summary:
- Excess energy over the best structure of this formula in the dataset: 0 meV/atom
- DOS at the Fermi energy: 21.7 states/eV per cell
- Energy of formation: 150 meV per atom
- Uncorrected energy: -4.8785 eV per atom
- Magnetic moment: 0.000 μB per atom
- Space group: No. 65

Structure (CIF):
```
data_Ag2Pd8Pt3
_symmetry_space_group_name_H-M 'P 1'
_symmetry_Int_Tables_number 1
_symmetry_space_group_name_Hall 'P 1'
_cell_length_a 9.725
_cell_length_b 9.725
_cell_length_c 2.781
_cell_angle_alpha 90.00
_cell_angle_beta 90.00
_cell_angle_gamma 123.33
loop_
_atom_site_label
_atom_site_type_symbol
_atom_site_fract_x
_atom_site_fract_y
_atom_site_fract_z
_atom_site_occupancy
Ag1 Ag 0.230 0.770 0.000 1
Ag2 Ag 0.770 0.230 0.000 1
Pd1 Pd 0.083 0.917 0.500 1
Pd2 Pd 0.104 0.390 0.000 1
Pd3 Pd 0.366 0.634 0.500 1
Pd4 Pd 0.390 0.104 0.000 1
Pd5 Pd 0.610 0.896 0.000 1
Pd6 Pd 0.634 0.366 0.500 1
Pd7 Pd 0.896 0.610 0.000 1
Pd8 Pd 0.917 0.083 0.500 1
Pt1 Pt 0.249 0.249 0.500 1
Pt2 Pt 0.500 0.500 0.000 1
Pt3 Pt 0.751 0.751 0.500 1
```